Version i
Here is crystalline PbCS2 at its relaxed geometry from the Alexandria database. Energies are from PBE.

It has space group R-3m (No. 166, hexagonal axes), with a = 3.2002 Å, b = 3.2002 Å, c = 24.6553 Å, α = 90.00°, β = 90.00° and γ = 120.00°. Symmetry generates all atoms from Pb at (0.0000, 0.0000, 0.0000), C at (0.0000, 0.0000, 0.5000) and S at (0.0000, 0.0000, 0.1184).

The volume comes out at 18.22 Å³ per atom.

---

Version ii
Here is crystalline PbCS2 at its relaxed geometry from the Alexandria database. Energies are from PBE.

It has space group I-42d (No. 122), with a = 5.968 Å, b = 5.968 Å, c = 9.025 Å, α = 90.00°, β = 90.00° and γ = 90.00°. Symmetry generates all atoms from Pb at (0.000, 0.000, 0.000), C at (0.000, 0.000, 0.500) and S at (0.100, 0.250, 0.625).

The volume comes out at 20.09 Å³ per atom.

---

Name the least stable of them. version i.

---

Version i
Here is crystalline PbCS2 at its relaxed geometry from the Alexandria database. Energies are from PBE.

It has space group R-3m (No. 166, hexagonal axes), with a = 3.7313 Å, b = 3.7313 Å, c = 24.1915 Å, α = 90.00°, β = 90.00° and γ = 120.00°. Symmetry generates all atoms from Pb at (0.0000, 0.0000, 0.0000), C at (0.0000, 0.0000, 0.5000) and S at (0.0000, 0.0000, 0.4350).

The volume comes out at 24.31 Å³ per atom.

---

Version ii
Here is crystalline PbCS2 at its relaxed geometry from the Alexandria database. Energies are from PBE.

It has space group Fm-3m (No. 225), with a = 6.679 Å, b = 6.679 Å, c = 6.679 Å, α = 90.00°, β = 90.00° and γ = 90.00°. Symmetry generates all atoms from Pb at (0.000, 0.000, 0.000), C at (0.000, 0.000, 0.500) and S at (0.250, 0.250, 0.250).

The volume comes out at 18.62 Å³ per atom.

---

Name the least stable of them. version ii.

---

Version i
Here is crystalline Pb2C2S at its relaxed geometry from the Alexandria database. Energies are from PBE.

It has space group I4/mmm (No. 139), with a = 4.980 Å, b = 4.980 Å, c = 7.991 Å, α = 90.00°, β = 90.00° and γ = 90.00°. Symmetry generates all atoms from Pb at (0.000, 0.500, 0.250), C at (0.000, 0.000, 0.079) and S at (0.000, 0.000, 0.500).

The volume comes out at 19.82 Å³ per atom.

---

Version ii
Here is crystalline Pb2C2S at its relaxed geometry from the Alexandria database. Energies are from PBE.

It has space group P4/mbm (No. 127), with a = 7.031 Å, b = 7.031 Å, c = 3.589 Å, α = 90.00°, β = 90.00° and γ = 90.00°. Symmetry generates all atoms from Pb at (0.161, 0.339, 0.000), C at (0.172, 0.672, 0.500) and S at (0.000, 0.000, 0.500).

The volume comes out at 17.74 Å³ per atom.

---

Name the least stable of them. version ii.

---

Version i
Here is crystalline PbC3S at its relaxed geometry from the Alexandria database. Energies are from PBE.

It has space group Pm-3m (No. 221), with a = 4.510 Å, b = 4.510 Å, c = 4.510 Å, α = 90.00°, β = 90.00° and γ = 90.00°. Symmetry generates all atoms from Pb at (0.000, 0.000, 0.000), C at (0.000, 0.000, 0.500) and S at (0.500, 0.500, 0.500).

The volume comes out at 18.35 Å³ per atom.

---

Version ii
Here is crystalline PbC3S at its relaxed geometry from the Alexandria database. Energies are from PBE.

It has space group Pm-3m (No. 221), with a = 3.865 Å, b = 3.865 Å, c = 3.865 Å, α = 90.00°, β = 90.00° and γ = 90.00°. Symmetry generates all atoms from Pb at (0.000, 0.000, 0.000), C at (0.000, 0.500, 0.500) and S at (0.500, 0.500, 0.500).

The volume comes out at 11.55 Å³ per atom.

---

Name the least stable of them. version i.

---

Version i
Here is crystalline SbPbC2 at its relaxed geometry from the Alexandria database. Energies are from PBE.

It has space group I-42d (No. 122), with a = 5.445 Å, b = 5.445 Å, c = 10.221 Å, α = 90.00°, β = 90.00° and γ = 90.00°. Symmetry generates all atoms from Sb at (0.000, 0.000, 0.000), Pb at (0.000, 0.000, 0.500) and C at (0.209, 0.250, 0.125).

The volume comes out at 18.94 Å³ per atom.

---

Version ii
Here is crystalline SbPbC2 at its relaxed geometry from the Alexandria database. Energies are from PBE.

It has space group Fm-3m (No. 225), with a = 6.399 Å, b = 6.399 Å, c = 6.399 Å, α = 90.00°, β = 90.00° and γ = 90.00°. Symmetry generates all atoms from Sb at (0.000, 0.000, 0.000), Pb at (0.000, 0.000, 0.500) and C at (0.250, 0.250, 0.250).

The volume comes out at 16.38 Å³ per atom.

---

Name the least stable of them. version ii.

---

Version i
Here is crystalline Sb2TePbC at its relaxed geometry from the Alexandria database. Energies are from PBE.

It has space group P4/mmm (No. 123), with a = 5.954 Å, b = 5.954 Å, c = 5.893 Å, α = 90.00°, β = 90.00° and γ = 90.00°. Symmetry generates all atoms from Sb at (0.000, 0.500, 0.000), Te at (0.000, 0.000, 0.500), Pb at (0.000, 0.000, 0.000) and C at (0.500, 0.500, 0.500).

The volume comes out at 41.78 Å³ per atom.

---

Version ii
Here is crystalline Sb2TePbC at its relaxed geometry from the Alexandria database. Energies are from PBE.

It has space group P4/mmm (No. 123), with a = 4.942 Å, b = 4.942 Å, c = 5.863 Å, α = 90.00°, β = 90.00° and γ = 90.00°. Symmetry generates all atoms from Sb at (0.000, 0.500, 0.000), Te at (0.000, 0.000, 0.500), Pb at (0.500, 0.500, 0.500) and C at (0.000, 0.000, 0.000).

The volume comes out at 28.64 Å³ per atom.

---

Name the least stable of them. version i.

---

Version i
Here is crystalline ScPb3C at its relaxed geometry from the Alexandria database. Energies are from PBE.

It has space group Pm-3m (No. 221), with a = 5.649 Å, b = 5.649 Å, c = 5.649 Å, α = 90.00°, β = 90.00° and γ = 90.00°. Symmetry generates all atoms from Sc at (0.000, 0.000, 0.000), Pb at (0.000, 0.000, 0.500) and C at (0.500, 0.500, 0.500).

The volume comes out at 36.05 Å³ per atom.

---

Version ii
Here is crystalline ScPb3C at its relaxed geometry from the Alexandria database. Energies are from PBE.

It has space group Pm-3m (No. 221), with a = 5.022 Å, b = 5.022 Å, c = 5.022 Å, α = 90.00°, β = 90.00° and γ = 90.00°. Symmetry generates all atoms from Sc at (0.000, 0.000, 0.000), Pb at (0.000, 0.500, 0.500) and C at (0.500, 0.500, 0.500).

The volume comes out at 25.33 Å³ per atom.

---

Name the least stable of them. version i.

---

Version i
Here is crystalline PbCSe2 at its relaxed geometry from the Alexandria database. Energies are from PBE.

It has space group I-42d (No. 122), with a = 6.387 Å, b = 6.387 Å, c = 9.416 Å, α = 90.00°, β = 90.00° and γ = 90.00°. Symmetry generates all atoms from Pb at (0.000, 0.000, 0.000), C at (0.000, 0.000, 0.500) and Se at (0.129, 0.250, 0.625).

The volume comes out at 24.00 Å³ per atom.

---

Version ii
Here is crystalline PbCSe2 at its relaxed geometry from the Alexandria database. Energies are from PBE.

It has space group Fm-3m (No. 225), with a = 6.946 Å, b = 6.946 Å, c = 6.946 Å, α = 90.00°, β = 90.00° and γ = 90.00°. Symmetry generates all atoms from Pb at (0.000, 0.000, 0.000), C at (0.000, 0.000, 0.500) and Se at (0.250, 0.250, 0.250).

The volume comes out at 20.94 Å³ per atom.

---

Name the least stable of them. version ii.

---

Version i
Here is crystalline PbCSe2 at its relaxed geometry from the Alexandria database. Energies are from PBE.

It has space group R-3m (No. 166, hexagonal axes), with a = 3.9549 Å, b = 3.9549 Å, c = 24.6381 Å, α = 90.00°, β = 90.00° and γ = 120.00°. Symmetry generates all atoms from Pb at (0.0000, 0.0000, 0.0000), C at (0.0000, 0.0000, 0.5000) and Se at (0.0000, 0.0000, 0.4295).

The volume comes out at 27.81 Å³ per atom.

---

Version ii
Here is crystalline PbCSe2 at its relaxed geometry from the Alexandria database. Energies are from PBE.

It has space group R-3m (No. 166, hexagonal axes), with a = 3.3065 Å, b = 3.3065 Å, c = 26.4280 Å, α = 90.00°, β = 90.00° and γ = 120.00°. Symmetry generates all atoms from Pb at (0.0000, 0.0000, 0.0000), C at (0.0000, 0.0000, 0.5000) and Se at (0.0000, 0.0000, 0.1157).

The volume comes out at 20.85 Å³ per atom.

---

Name the least stable of them. version ii.

---

Version i
Here is crystalline PbCSe3 at its relaxed geometry from the Alexandria database. Energies are from PBE.

It has space group Pm-3m (No. 221), with a = 5.438 Å, b = 5.438 Å, c = 5.438 Å, α = 90.00°, β = 90.00° and γ = 90.00°. Symmetry generates all atoms from Pb at (0.000, 0.000, 0.000), C at (0.500, 0.500, 0.500) and Se at (0.000, 0.000, 0.500).

The volume comes out at 32.16 Å³ per atom.

---

Version ii
Here is crystalline PbCSe3 at its relaxed geometry from the Alexandria database. Energies are from PBE.

It has space group Pm-3m (No. 221), with a = 4.622 Å, b = 4.622 Å, c = 4.622 Å, α = 90.00°, β = 90.00° and γ = 90.00°. Symmetry generates all atoms from Pb at (0.000, 0.000, 0.000), C at (0.500, 0.500, 0.500) and Se at (0.000, 0.500, 0.500).

The volume comes out at 19.74 Å³ per atom.

---

Name the least stable of them. version i.

---

Version i
Here is crystalline PbC2Se at its relaxed geometry from the Alexandria database. Energies are from PBE.

It has space group I-42d (No. 122), with a = 5.007 Å, b = 5.007 Å, c = 11.265 Å, α = 90.00°, β = 90.00° and γ = 90.00°. Symmetry generates all atoms from Pb at (0.000, 0.000, 0.000), C at (0.209, 0.250, 0.625) and Se at (0.000, 0.000, 0.500).

The volume comes out at 17.65 Å³ per atom.

---

Version ii
Here is crystalline PbC2Se at its relaxed geometry from the Alexandria database. Energies are from PBE.

It has space group Fm-3m (No. 225), with a = 6.243 Å, b = 6.243 Å, c = 6.243 Å, α = 90.00°, β = 90.00° and γ = 90.00°. Symmetry generates all atoms from Pb at (0.000, 0.000, 0.000), C at (0.250, 0.250, 0.250) and Se at (0.000, 0.000, 0.500).

The volume comes out at 15.21 Å³ per atom.

---

Name the least stable of them. version ii.

---

Version i
Here is crystalline SiPb2C at its relaxed geometry from the Alexandria database. Energies are from PBE.

It has space group I-42d (No. 122), with a = 5.876 Å, b = 5.876 Å, c = 11.410 Å, α = 90.00°, β = 90.00° and γ = 90.00°. Symmetry generates all atoms from Si at (0.000, 0.000, 0.000), Pb at (0.200, 0.250, 0.625) and C at (0.000, 0.000, 0.500).

The volume comes out at 24.62 Å³ per atom.

---

Version ii
Here is crystalline SiPb2C at its relaxed geometry from the Alexandria database. Energies are from PBE.

It has space group Fm-3m (No. 225), with a = 6.972 Å, b = 6.972 Å, c = 6.972 Å, α = 90.00°, β = 90.00° and γ = 90.00°. Symmetry generates all atoms from Si at (0.000, 0.000, 0.000), Pb at (0.250, 0.250, 0.250) and C at (0.000, 0.000, 0.500).

The volume comes out at 21.18 Å³ per atom.

---

Name the least stable of them. version ii.

---

Version i
Here is crystalline Si2PbC at its relaxed geometry from the Alexandria database. Energies are from PBE.

It has space group Fm-3m (No. 225), with a = 6.586 Å, b = 6.586 Å, c = 6.586 Å, α = 90.00°, β = 90.00° and γ = 90.00°. Symmetry generates all atoms from Si at (0.250, 0.250, 0.250), Pb at (0.000, 0.000, 0.000) and C at (0.000, 0.000, 0.500).

The volume comes out at 17.85 Å³ per atom.

---

Version ii
Here is crystalline Si2PbC at its relaxed geometry from the Alexandria database. Energies are from PBE.

It has space group I-42d (No. 122), with a = 5.385 Å, b = 5.385 Å, c = 9.873 Å, α = 90.00°, β = 90.00° and γ = 90.00°. Symmetry generates all atoms from Si at (0.138, 0.250, 0.125), Pb at (0.000, 0.000, 0.500) and C at (0.000, 0.000, 0.000).

The volume comes out at 17.90 Å³ per atom.

---

Name the least stable of them. version i.